Below is a geometry-optimized TbNd5Mg3 structure, with properties calculated at the PBE-GGA level.

It has space group C2/m (No. 12), with a = 13.651 Å, b = 8.243 Å, c = 10.966 Å, α = 90.00°, β = 97.49° and γ = 90.00°. The asymmetric unit holds Tb at (0.104, 0.000, 0.266), Nd at (0.000, 0.330, 0.000), Nd at (0.010, 0.500, 0.637), Nd at (0.150, 0.209, 0.723), Nd at (0.242, 0.000, 0.031), Mg at (0.000, 0.000, 0.000), Mg at (0.000, 0.000, 0.500), Mg at (0.157, 0.500, 0.211) and Mg at (0.223, 0.500, 0.494).

As for the density of states at the Fermi level: 12.93 states/eV/f.u. For the total magnetic moment, the calculation gives 0.01 Bohr magnetons per cell. For the electronic total energy, the calculation gives -3.34 eV/atom.

Below is a geometry-optimized Tb5Nd12Mg2 structure, with properties calculated at the PBE-GGA level.

It has space group C2/m (No. 12), with a = 15.874 Å, b = 9.262 Å, c = 8.651 Å, α = 90.00°, β = 92.78° and γ = 90.00°. The asymmetric unit holds Tb at (0.000, 0.000, 0.000), Tb at (0.203, 0.500, 0.528), Tb at (0.232, 0.000, 0.071), Nd at (0.059, 0.500, 0.840), Nd at (0.079, 0.000, 0.381), Nd at (0.128, 0.305, 0.182), Nd at (0.148, 0.184, 0.736) and Mg at (0.000, 0.336, 0.500).

As for the density of states at the Fermi level: 27.82 states/eV/f.u. For the total magnetic moment, the calculation gives 0.00 Bohr magnetons per cell. For the electronic total energy, the calculation gives -4.31 eV/atom.

Below is a geometry-optimized Tb2Nd2Mg3 structure, with properties calculated at the PBE-GGA level.

It has space group Cmmm (No. 65), with a = 3.933 Å, b = 28.445 Å, c = 3.724 Å, α = 90.00°, β = 90.00° and γ = 90.00°. The asymmetric unit holds Tb at (0.000, 0.202, 0.000), Nd at (0.000, 0.072, 0.000), Mg at (0.000, 0.361, 0.500) and Mg at (0.000, 0.500, 0.500).

As for the energy above the most stable polymorph in this dataset: 0.00 eV per formula unit. As for the density of states at the Fermi level: 7.78 states/eV/f.u. For the total magnetic moment, the calculation gives 0.00 Bohr magnetons per cell. For the electronic total energy, the calculation gives -3.36 eV/atom.